(1)
Below is a relaxed AlZn2Ir crystal, with properties calculated at the PBE level.

Cell lengths 3.322, 3.322, 5.270 Å; angles 90.00, 90.00, 90.00 degrees
Space group P4/mmm (No. 123)
Inequivalent atoms, fractional coordinates:
Al 0.000 0.000 0.000 x1
Zn 0.500 0.500 0.252 x2
Ir 0.000 0.000 0.500 x1

Formation energy = -20 kJ/mol of atoms
Fermi-level density of states = 1.6 states/eV/f.u.

=====

(2)
Below is a relaxed AlZn2Ir crystal, with properties calculated at the PBE level.

Cell lengths 5.204, 7.571, 2.952 Å; angles 90.00, 90.00, 90.00 degrees
Space group Cmmm (No. 65)
Inequivalent atoms, fractional coordinates:
Al 0.000 0.000 0.000 x2
Zn 0.250 0.250 0.500 x4
Ir 0.000 0.500 0.000 x2

Formation energy = -19 kJ/mol of atoms
Fermi-level density of states = 1.5 states/eV/f.u.

=====

(3)
Below is a relaxed AlZnIr2 crystal, with properties calculated at the PBE level.

Cell lengths 8.511, 2.824, 4.870 Å; angles 90.00, 101.65, 90.00 degrees
Space group C2/m (No. 12)
Inequivalent atoms, fractional coordinates:
Al 0.000 0.000 0.000 x2
Zn 0.000 0.500 0.500 x2
Ir 0.242 0.500 0.247 x4

Formation energy = -37 kJ/mol of atoms
Fermi-level density of states = 2.7 states/eV/f.u.

=====

(4)
Below is a relaxed AlZn2Ir crystal, with properties calculated at the PBE level.

Cell lengths 2.832, 4.862, 8.840 Å; angles 90.00, 90.00, 90.00 degrees
Space group Cmm2 (No. 35)
Inequivalent atoms, fractional coordinates:
Al 0.000 0.000 0.000 x2
Zn 0.000 0.000 0.480 x2
Zn 0.000 0.500 0.738 x2
Ir 0.000 0.500 0.230 x2

Formation energy = -9 kJ/mol of atoms
Fermi-level density of states = 1.2 states/eV/f.u.

=====

(5)
Below is a relaxed Al4ZnIr5 crystal, with properties calculated at the PBE level.

Cell lengths 3.016, 3.016, 15.146 Å; angles 90.00, 90.00, 90.00 degrees
Space group P4/mmm (No. 123)
Inequivalent atoms, fractional coordinates:
Al 0.000 0.000 0.101 x2
Al 0.000 0.000 0.303 x2
Zn 0.000 0.000 0.500 x1
Ir 0.500 0.500 0.000 x1
Ir 0.500 0.500 0.198 x2
Ir 0.500 0.500 0.396 x2

Formation energy = -80 kJ/mol of atoms
Fermi-level density of states = 1.1 states/eV/f.u.

=====

(6)
Below is a relaxed ZrAlZnIr crystal, with properties calculated at the PBE level.

Cell lengths 6.386, 6.386, 6.386 Å; angles 90.00, 90.00, 90.00 degrees
Space group F-43m (No. 216)
Inequivalent atoms, fractional coordinates:
Zr 0.000 0.000 0.000 x4
Al 0.000 0.000 0.500 x4
Zn 0.250 0.250 0.250 x4
Ir 0.250 0.250 0.750 x4

Formation energy = -62 kJ/mol of atoms
Fermi-level density of states = 0.8 states/eV/f.u.

=====

(7)
Below is a relaxed Zr2Al2ZnIr5 crystal, with properties calculated at the PBE level.

Cell lengths 9.508, 9.508, 3.539 Å; angles 90.00, 90.00, 90.00 degrees
Space group P4/mbm (No. 127)
Inequivalent atoms, fractional coordinates:
Zr 0.174 0.326 0.000 x4
Al 0.125 0.625 0.000 x4
Zn 0.000 0.000 0.000 x2
Ir 0.000 0.500 0.500 x2
Ir 0.067 0.797 0.500 x8

Formation energy = -62 kJ/mol of atoms
Fermi-level density of states = 3.8 states/eV/f.u.

=====

(8)
Below is a relaxed ZrAl2Ir crystal, with properties calculated at the PBE level.

Cell lengths 3.008, 4.384, 5.395 Å; angles 90.00, 106.11, 90.00 degrees
Space group Pm (No. 6)
Inequivalent atoms, fractional coordinates:
Zr 0.000 0.000 0.000 x1
Al 0.266 0.000 0.527 x1
Al 0.670 0.500 0.338 x1
Ir 0.391 0.500 0.778 x1

Formation energy = -50 kJ/mol of atoms
Fermi-level density of states = 2.2 states/eV/f.u.

=====

(9)
Below is a relaxed ZrAl2Ir crystal, with properties calculated at the PBE level.

Cell lengths 2.9704, 2.9704, 26.9954 Å; angles 90.00, 90.00, 120.00 degrees
Space group R3m (No. 160, hexagonal axes)
Inequivalent atoms, fractional coordinates:
Zr 0.0000 0.0000 0.0000 x3
Al 0.0000 0.0000 0.5099 x3
Al 0.0000 0.0000 0.7589 x3
Ir 0.0000 0.0000 0.2474 x3

Formation energy = -28 kJ/mol of atoms
Fermi-level density of states = 3.4 states/eV/f.u.

=====

(10)
Below is a relaxed ZrAlIr4 crystal, with properties calculated at the PBE level.

Cell lengths 7.361, 7.361, 7.361 Å; angles 90.00, 90.00, 90.00 degrees
Space group F-43m (No. 216)
Inequivalent atoms, fractional coordinates:
Zr 0.000 0.000 0.000 x4
Al 0.250 0.250 0.250 x4
Ir 0.124 0.124 0.624 x16

Formation energy = -37 kJ/mol of atoms
Fermi-level density of states = 5.0 states/eV/f.u.

=====

(11)
Below is a relaxed ZrAl2Ir crystal, with properties calculated at the PBE level.

Cell lengths 2.9774, 2.9774, 26.9292 Å; angles 90.00, 90.00, 120.00 degrees
Space group R-3m (No. 166, hexagonal axes)
Inequivalent atoms, fractional coordinates:
Zr 0.0000 0.0000 0.0000 x3
Al 0.0000 0.0000 0.2391 x6
Ir 0.0000 0.0000 0.5000 x3

Formation energy = -33 kJ/mol of atoms
Fermi-level density of states = 3.2 states/eV/f.u.

=====

(12)
Below is a relaxed Zr2AlIr crystal, with properties calculated at the PBE level.

Cell lengths 3.212, 3.212, 7.280 Å; angles 90.00, 90.00, 90.00 degrees
Space group P4mm (No. 99)
Inequivalent atoms, fractional coordinates:
Zr 0.000 0.000 0.000 x1
Zr 0.500 0.500 0.305 x1
Al 0.000 0.000 0.580 x1
Ir 0.500 0.500 0.766 x1

Formation energy = -54 kJ/mol of atoms
Fermi-level density of states = 2.1 states/eV/f.u.

=====

(13)
Below is a relaxed ZrAl2Ir crystal, with properties calculated at the PBE level.

Cell lengths 9.160, 3.083, 4.940 Å; angles 90.00, 103.24, 90.00 degrees
Space group Cm (No. 8)
Inequivalent atoms, fractional coordinates:
Zr 0.000 0.000 0.000 x2
Al 0.233 0.000 0.691 x2
Al 0.487 0.000 0.496 x2
Ir 0.256 0.500 0.275 x2

Formation energy = -47 kJ/mol of atoms
Fermi-level density of states = 3.6 states/eV/f.u.

=====

(14)
Below is a relaxed ZrAl4Ir crystal, with properties calculated at the PBE level.

Cell lengths 7.303, 7.303, 7.303 Å; angles 90.00, 90.00, 90.00 degrees
Space group F-43m (No. 216)
Inequivalent atoms, fractional coordinates:
Zr 0.000 0.000 0.000 x4
Al 0.125 0.125 0.625 x16
Ir 0.250 0.250 0.250 x4

Formation energy = -17 kJ/mol of atoms
Fermi-level density of states = 4.1 states/eV/f.u.